Record 1
! TaOsBr2 (PBE-GGA, optimized geometry); values from VASP
! Magnetic moment   0.37 μB/f.u.
! E   -22.17 eV/cell
! ΔE_f (raw)   1.0650 eV/atom
! Energy above the most stable polymorph in this dataset   1167 meV/atom
! Volume   75 Å³/cell
&SYSTEM
  ibrav = 0, nat = 4, ntyp = 3
/
ATOMIC_SPECIES
Os 190.23 Os.upf
Br 79.90 Br.upf
Ta 180.95 Ta.upf
ATOMIC_POSITIONS crystal
Os 0.500 0.500 0.500
Br 0.250 0.250 0.250
Br 0.000 0.000 0.000
Ta 0.750 0.750 0.750
CELL_PARAMETERS angstrom
4.731 0.000 0.000
2.366 4.097 0.000
2.366 1.366 3.863



Record 2
! TaOsBr2 (PBE-GGA, optimized geometry); values from VASP
! Magnetic moment   0.00 μB/f.u.
! E   -22.66 eV/cell
! ΔE_f (raw)   0.9423 eV/atom
! Energy above the most stable polymorph in this dataset   1045 meV/atom
! Volume   74 Å³/cell
&SYSTEM
  ibrav = 0, nat = 4, ntyp = 3
/
ATOMIC_SPECIES
Br 79.90 Br.upf
Os 190.23 Os.upf
Ta 180.95 Ta.upf
ATOMIC_POSITIONS crystal
Br 0.250 0.750 0.500
Os 0.500 0.500 0.000
Br 0.000 0.000 0.000
Ta 0.750 0.250 0.500
CELL_PARAMETERS angstrom
-1.813 -1.795 3.806
4.249 -1.693 -0.276
0.038 4.579 0.170



Record 3
! YTa2OsBr (PBE-GGA, optimized geometry); values from VASP
! Magnetic moment   0.00 μB/f.u.
! E   -37.19 eV/cell
! ΔE_f (raw)   1.1755 eV/atom
! Volume   107 Å³/cell
&SYSTEM
  ibrav = 0, nat = 5, ntyp = 4
/
ATOMIC_SPECIES
Os 190.23 Os.upf
Br 79.90 Br.upf
Ta 180.95 Ta.upf
Y 88.91 Y.upf
ATOMIC_POSITIONS crystal
Os 0.000 0.500 0.000
Br 0.000 0.000 0.000
Ta 0.500 0.000 0.000
Ta 0.000 0.000 0.500
Y 0.500 0.500 0.500
CELL_PARAMETERS angstrom
-1.488 1.572 4.218
2.719 -3.261 2.175
3.600 3.082 0.122



Record 4
! Tb2OsBr (PBE-GGA, optimized geometry); values from VASP
! Magnetic moment   0.00 μB/f.u.
! E   -24.97 eV/cell
! ΔE_f (raw)   -0.7007 eV/atom
! Energy above the most stable polymorph in this dataset   0 meV/atom
! Volume   95 Å³/cell
&SYSTEM
  ibrav = 0, nat = 4, ntyp = 3
/
ATOMIC_SPECIES
Br 79.90 Br.upf
Os 190.23 Os.upf
Tb 158.93 Tb.upf
ATOMIC_POSITIONS crystal
Br 0.500 0.500 0.500
Os 0.500 0.500 0.000
Tb 0.000 0.000 0.794
Tb 0.000 0.000 0.206
CELL_PARAMETERS angstrom
-2.474 1.349 -1.903
-0.287 -2.929 -1.702
-5.588 -2.602 5.421



Record 5
! TbOsBr (PBE-GGA, optimized geometry); values from VASP
! Magnetic moment   0.00 μB/f.u.
! E   -40.90 eV/cell
! ΔE_f (raw)   -0.9728 eV/atom
! Volume   171 Å³/cell
&SYSTEM
  ibrav = 0, nat = 6, ntyp = 3
/
ATOMIC_SPECIES
Os 190.23 Os.upf
Tb 158.93 Tb.upf
Br 79.90 Br.upf
ATOMIC_POSITIONS crystal
Os 0.163 0.163 0.512
Os 0.837 0.837 0.488
Tb 0.560 0.560 0.321
Br 0.280 0.280 0.161
Br 0.720 0.720 0.839
Tb 0.440 0.440 0.679
CELL_PARAMETERS angstrom
4.177 0.000 0.000
2.089 3.618 0.000
2.089 1.206 11.334



Record 6
! Tb2OsBr (PBE-GGA, optimized geometry); values from VASP
! Magnetic moment   0.00 μB/f.u.
! E   -24.67 eV/cell
! ΔE_f (raw)   -0.6260 eV/atom
! Energy above the most stable polymorph in this dataset   75 meV/atom
! Volume   107 Å³/cell
&SYSTEM
  ibrav = 0, nat = 4, ntyp = 3
/
ATOMIC_SPECIES
Tb 158.93 Tb.upf
Os 190.23 Os.upf
Br 79.90 Br.upf
ATOMIC_POSITIONS crystal
Tb 0.268 0.268 0.195
Os 0.000 0.000 0.000
Br 0.500 0.500 0.500
Tb 0.732 0.732 0.805
CELL_PARAMETERS angstrom
4.024 0.000 0.000
2.012 3.485 0.000
2.012 1.162 7.649



Record 7
! TbThOsBr (PBE-GGA, optimized geometry); values from VASP
! Magnetic moment   0.00 μB/f.u.
! E   -27.98 eV/cell
! ΔE_f (raw)   -0.7562 eV/atom
! Volume   116 Å³/cell
&SYSTEM
  ibrav = 0, nat = 4, ntyp = 4
/
ATOMIC_SPECIES
Os 190.23 Os.upf
Th 232.04 Th.upf
Br 79.90 Br.upf
Tb 158.93 Tb.upf
ATOMIC_POSITIONS crystal
Os 0.305 0.550 0.871
Th 0.091 0.943 0.050
Br 0.971 0.384 0.369
Tb 0.511 0.153 0.679
CELL_PARAMETERS angstrom
4.125 -0.001 0.000
-2.062 3.573 0.000
-2.062 -1.191 7.839



Record 8
! Tc2OsBr (PBE-GGA, optimized geometry); values from VASP
! Magnetic moment   0.00 μB/f.u.
! E   -30.85 eV/cell
! ΔE_f (raw)   0.6965 eV/atom
! Energy above the most stable polymorph in this dataset   160 meV/atom
! Volume   63 Å³/cell
&SYSTEM
  ibrav = 0, nat = 4, ntyp = 3
/
ATOMIC_SPECIES
Tc 98.00 Tc.upf
Br 79.90 Br.upf
Os 190.23 Os.upf
ATOMIC_POSITIONS crystal
Tc 0.500 0.500 0.246
Tc 0.000 0.000 0.997
Br 0.000 0.000 0.479
Os 0.500 0.500 0.778
CELL_PARAMETERS angstrom
-2.426 -0.860 1.318
-1.243 -0.440 -2.574
2.531 -7.145 0.000



Record 9
! Tc2OsBr (PBE-GGA, optimized geometry); values from VASP
! Magnetic moment   0.00 μB/f.u.
! E   -30.02 eV/cell
! ΔE_f (raw)   0.9025 eV/atom
! Energy above the most stable polymorph in this dataset   366 meV/atom
! Volume   65 Å³/cell
&SYSTEM
  ibrav = 0, nat = 4, ntyp = 3
/
ATOMIC_SPECIES
Os 190.23 Os.upf
Tc 98.00 Tc.upf
Br 79.90 Br.upf
ATOMIC_POSITIONS crystal
Os 0.500 0.500 0.750
Tc 0.000 0.000 0.517
Br 0.500 0.500 0.250
Tc 0.000 0.000 0.983
CELL_PARAMETERS angstrom
-1.147 1.870 -1.743
-1.526 -2.202 0.819
-3.178 4.957 7.409



Record 10
! Tc3OsBr (PBE-GGA, optimized geometry); values from VASP
! Magnetic moment   1.60 μB/f.u.
! E   -33.83 eV/cell
! ΔE_f (raw)   2.0344 eV/atom
! Energy above the most stable polymorph in this dataset   186 meV/atom
! Volume   89 Å³/cell
&SYSTEM
  ibrav = 0, nat = 5, ntyp = 3
/
ATOMIC_SPECIES
Br 79.90 Br.upf
Tc 98.00 Tc.upf
Os 190.23 Os.upf
ATOMIC_POSITIONS crystal
Br 0.000 0.000 0.000
Tc 0.500 0.000 0.000
Tc 0.000 0.000 0.500
Os 0.500 0.500 0.500
Tc 0.000 0.500 0.000
CELL_PARAMETERS angstrom
-1.296 -3.024 -3.022
3.727 0.749 -2.347
2.095 -3.202 2.305



Record 11
! TcOs3Br (PBE-GGA, optimized geometry); values from VASP
! Magnetic moment   1.88 μB/f.u.
! E   -32.62 eV/cell
! ΔE_f (raw)   2.6212 eV/atom
! Energy above the most stable polymorph in this dataset   152 meV/atom
! Volume   92 Å³/cell
&SYSTEM
  ibrav = 0, nat = 5, ntyp = 3
/
ATOMIC_SPECIES
Os 190.23 Os.upf
Br 79.90 Br.upf
Tc 98.00 Tc.upf
ATOMIC_POSITIONS crystal
Os 0.500 0.000 0.000
Os 0.000 0.000 0.500
Os 0.000 0.500 0.000
Br 0.000 0.000 0.000
Tc 0.500 0.500 0.500
CELL_PARAMETERS angstrom
4.511 0.000 0.000
0.000 4.511 0.000
0.000 0.000 4.511



Record 12
! TcOsBr (PBE-GGA, optimized geometry); values from VASP
! Magnetic moment   0.00 μB/f.u.
! E   -19.87 eV/cell
! ΔE_f (raw)   1.1315 eV/atom
! Energy above the most stable polymorph in this dataset   465 meV/atom
! Volume   47 Å³/cell
&SYSTEM
  ibrav = 0, nat = 3, ntyp = 3
/
ATOMIC_SPECIES
Tc 98.00 Tc.upf
Br 79.90 Br.upf
Os 190.23 Os.upf
ATOMIC_POSITIONS crystal
Tc 0.333 0.667 0.746
Br 0.000 0.000 0.982
Os 0.667 0.333 0.271
CELL_PARAMETERS angstrom
4.262 0.000 0.000
-2.131 3.691 0.000
0.000 0.000 2.991



Record 13
! Tc2OsBr (PBE-GGA, optimized geometry); values from VASP
! Magnetic moment   0.00 μB/f.u.
! E   -29.78 eV/cell
! ΔE_f (raw)   0.9638 eV/atom
! Energy above the most stable polymorph in this dataset   427 meV/atom
! Volume   61 Å³/cell
&SYSTEM
  ibrav = 0, nat = 4, ntyp = 3
/
ATOMIC_SPECIES
Tc 98.00 Tc.upf
Br 79.90 Br.upf
Os 190.23 Os.upf
ATOMIC_POSITIONS crystal
Tc 0.518 0.518 0.000
Tc 0.982 0.982 0.000
Br 0.750 0.250 0.500
Os 0.250 0.750 0.500
CELL_PARAMETERS angstrom
-2.473 0.656 -4.618
-1.216 -4.279 -2.842
-0.591 2.654 4.525



Record 14
! Tc2OsBr (PBE-GGA, optimized geometry); values from VASP
! Magnetic moment   0.00 μB/f.u.
! E   -30.09 eV/cell
! ΔE_f (raw)   0.8849 eV/atom
! Energy above the most stable polymorph in this dataset   348 meV/atom
! Volume   68 Å³/cell
&SYSTEM
  ibrav = 0, nat = 4, ntyp = 3
/
ATOMIC_SPECIES
Os 190.23 Os.upf
Tc 98.00 Tc.upf
Br 79.90 Br.upf
ATOMIC_POSITIONS crystal
Os 0.500 0.500 0.791
Tc 0.500 0.500 0.225
Tc 0.000 0.000 0.011
Br 0.000 0.000 0.473
CELL_PARAMETERS angstrom
-1.763 1.880 0.999
-1.024 -2.441 -0.795
1.411 -3.623 9.310



Record 15
! Tc2OsBr (PBE-GGA, optimized geometry); values from VASP
! Magnetic moment   0.00 μB/f.u.
! E   -30.16 eV/cell
! ΔE_f (raw)   0.8676 eV/atom
! Energy above the most stable polymorph in this dataset   331 meV/atom
! Volume   61 Å³/cell
&SYSTEM
  ibrav = 0, nat = 4, ntyp = 3
/
ATOMIC_SPECIES
Os 190.23 Os.upf
Tc 98.00 Tc.upf
Br 79.90 Br.upf
ATOMIC_POSITIONS crystal
Os 0.264 0.764 0.500
Tc 0.730 0.230 0.500
Br 0.502 0.502 0.000
Tc 0.004 0.004 0.000
CELL_PARAMETERS angstrom
5.315 0.000 0.002
2.599 4.636 -0.002
-3.412 -3.249 2.461